[1]
VASP calculation (PBE) on crystalline MgTc2CCl at its relaxed geometry.

Lattice parameters (Å, degrees): 5.0329 5.0329 4.4951 90.00 90.00 90.00
Space group P4/mmm (No. 123)
Symmetry-distinct sites (fractional):
Mg1 0.0000 0.0000 0.0000 (multiplicity 1)
Tc1 0.0000 0.5000 0.0000 (multiplicity 2)
C1 0.5000 0.5000 0.5000 (multiplicity 1)
Cl1 0.0000 0.0000 0.5000 (multiplicity 1)

Calculated values
**Raw formation energy**: 2.66 eV/atom
**E_tot**: -0.2952 Ry/atom

[2]
VASP calculation (PBE) on crystalline Mg2WCCl at its relaxed geometry.

Lattice parameters (Å, degrees): 5.4107 5.4107 4.4514 90.00 90.00 90.00
Space group P4/mmm (No. 123)
Symmetry-distinct sites (fractional):
Mg1 0.0000 0.5000 0.0000 (multiplicity 2)
W1 0.0000 0.0000 0.0000 (multiplicity 1)
C1 0.5000 0.5000 0.5000 (multiplicity 1)
Cl1 0.0000 0.0000 0.5000 (multiplicity 1)

Calculated values
**Raw formation energy**: 1.89 eV/atom
**E_tot**: -0.2609 Ry/atom

[3]
VASP calculation (PBE) on crystalline MnC3Cl at its relaxed geometry.

Lattice parameters (Å, degrees): 3.8423 3.8423 3.8423 90.00 90.00 90.00
Space group Pm-3m (No. 221)
Symmetry-distinct sites (fractional):
Mn1 0.0000 0.0000 0.0000 (multiplicity 1)
C1 0.0000 0.0000 0.5000 (multiplicity 3)
Cl1 0.5000 0.5000 0.5000 (multiplicity 1)

Calculated values
**Excess energy over the best structure of this formula in the dataset**: 0.0 kJ/mol of formula units
**Raw formation energy**: 1.89 eV/atom
**E_tot**: -0.4296 Ry/atom

Number 1: total moment 5.24 μB per cell. Number 2: total moment 1.39 μB per cell. Number 3: total moment 0.00 μB per cell.